# 1
Below is Sr3Th5H12 after structural relaxation, with properties calculated at the PBE-GGA level.

Cell and atoms, written as POSCAR:
```
Sr3Th5H12
1.0
-7.1342 -4.8847 -8.3951
6.8176 -8.6011 4.9775
-6.7778 5.1818 8.5115
H Sr Th
48 12 20
direct
0.4305 0.1485 0.5903
0.9097 0.8402 0.5582
0.4097 0.3515 0.5695
0.7820 0.3402 0.9305
0.5582 0.2180 0.1485
0.8402 0.9305 0.2820
0.3402 0.5582 0.4097
0.1485 0.7180 0.5582
0.6485 0.0582 0.2180
0.2820 0.8515 0.9418
0.9305 0.8402 0.7820
0.7820 0.4418 0.3515
0.2820 0.4305 0.8402
0.2180 0.5582 0.6485
0.0903 0.9305 0.1485
0.5903 0.6485 0.4305
0.9097 0.0695 0.8515
0.5695 0.8515 0.4097
0.0695 0.9097 0.3515
0.2180 0.6598 0.0695
0.9305 0.0903 0.6485
0.4097 0.0582 0.3402
0.3402 0.7820 0.4305
0.4418 0.6598 0.0903
0.3515 0.9418 0.7820
0.6598 0.4418 0.5903
0.8515 0.2820 0.4418
0.0695 0.1598 0.2180
0.9418 0.5903 0.1598
0.4305 0.2820 0.3402
0.0582 0.6485 0.7180
0.1598 0.0695 0.7180
0.9418 0.3515 0.2820
0.8402 0.9097 0.0582
0.6598 0.2180 0.5695
0.0582 0.4097 0.8402
0.8515 0.5695 0.9097
0.1598 0.0903 0.9418
0.7180 0.1485 0.0582
0.0903 0.1598 0.4418
0.3515 0.4097 0.0695
0.6485 0.5903 0.9305
0.5903 0.9418 0.6598
0.5582 0.3402 0.9097
0.7180 0.5695 0.1598
0.5695 0.7180 0.6598
0.4418 0.7820 0.8515
0.1485 0.4305 0.0903
0.2500 0.6250 0.8750
0.7500 0.8750 0.6250
0.8750 0.7500 0.1250
0.3750 0.7500 0.6250
0.8750 0.1250 0.2500
0.6250 0.3750 0.7500
0.1250 0.2500 0.8750
0.1250 0.8750 0.7500
0.6250 0.2500 0.3750
0.7500 0.3750 0.1250
0.3750 0.6250 0.2500
0.2500 0.1250 0.3750
0.7500 0.1250 0.8750
0.2500 0.8750 0.1250
0.6250 0.8750 0.2500
0.1250 0.3750 0.2500
0.3750 0.1250 0.7500
0.5000 0.5000 0.5000
0.5000 0.0000 0.5000
0.2500 0.3750 0.6250
0.6250 0.7500 0.8750
0.8750 0.2500 0.6250
0.0000 0.0000 0.0000
0.1250 0.7500 0.3750
0.8750 0.6250 0.7500
0.7500 0.6250 0.3750
0.0000 0.5000 0.5000
0.3750 0.2500 0.1250
0.5000 0.5000 0.0000
0.0000 0.5000 0.0000
0.5000 0.0000 0.0000
0.0000 0.0000 0.5000
```

Values from the calculation:
Magnetic moment (μB/atom): 0.0001
Space-group type: Ia-3d (230)
Electronic total energy (eV/f.u.): -87.80
Density of states at the Fermi level (states/eV per cell): 48.5

***

# 2
Below is Cs2GeTe3 after structural relaxation, with properties calculated at the PBE-GGA level.

Cell and atoms, written as POSCAR:
```
Cs2GeTe3
1.0
7.6781 -0.0038 0.3415
3.8342 8.9333 0.1702
-0.6248 -0.0013 18.3317
Cs Te Ge
8 12 4
direct
0.6704 0.1198 0.9352
0.9859 0.6276 0.8487
0.3296 0.8802 0.0648
0.3865 0.6277 0.6513
0.2112 0.1194 0.5648
0.0141 0.3724 0.1513
0.7888 0.8806 0.4352
0.6135 0.3723 0.3487
0.0945 0.2446 0.9390
0.3893 0.2233 0.7500
0.4422 0.7918 0.8603
0.9836 0.0316 0.2499
0.6626 0.2448 0.5612
0.6107 0.7767 0.2500
0.7665 0.7919 0.6397
0.9055 0.7554 0.0610
0.0164 0.9684 0.7501
0.5578 0.2082 0.1397
0.2335 0.2081 0.3603
0.3374 0.7552 0.4388
0.2347 0.0670 0.8306
0.7000 0.0670 0.6696
0.3000 0.9330 0.3304
0.7653 0.9330 0.1694
```

Values from the calculation:
Energy above the most stable polymorph in this dataset (meV per atom): 0
Magnetic moment (μB/atom): 0.0000
Space-group type: P-1 (2)
Electronic total energy (eV/f.u.): -19.70
Uncorrected formation energy (eV per atom): -0.6582

***

# 3
Below is NaTc2GeO8 after structural relaxation, with properties calculated at the PBE-GGA level.

Cell and atoms, written as POSCAR:
```
NaTc2GeO8
1.0
-0.6941 2.3769 -4.6328
-2.7487 -2.3835 -3.7892
-8.0320 3.4674 0.0042
O Tc Ge Na
8 2 1 1
direct
0.2374 0.9020 0.3224
0.0980 0.7626 0.6776
0.6787 0.6787 0.9639
0.5381 0.2374 0.3224
0.4619 0.0980 0.6776
0.7626 0.4619 0.6776
0.3213 0.3213 0.0361
0.9020 0.5381 0.3224
0.7498 0.7498 0.7507
0.2502 0.2502 0.2493
0.5000 0.5000 0.5000
0.0000 0.0000 0.0000
```

Values from the calculation:
Magnetic moment (μB/atom): 0.0873
Space-group type: R32 (155)
Electronic total energy (eV/f.u.): -81.79
Density of states at the Fermi level (states/eV per cell): 5.8
Uncorrected formation energy (eV per atom): -1.2884